# 1
# TbTm2Au4, optimized geometry, DFT PBE
# E: -4.539 eV per atom
# D(E_F): 9.81 states/eV/cell
# formation energy: -0.73 eV per atom
# crystal system: orthorhombic
data_TbTm2Au4
_chemical_formula_sum 'Tb2 Tm4 Au8'
_cell_length_a 7.2677
_cell_length_b 9.5932
_cell_length_c 4.9266
_cell_angle_alpha 90.00
_cell_angle_beta 90.00
_cell_angle_gamma 90.00
_space_group_name_H-M_alt 'C m m m'
_space_group_IT_number 65
_space_group_name_Hall '-C 2 2'
loop_
_atom_site_label
_atom_site_fract_x
_atom_site_fract_y
_atom_site_fract_z
Tb1 0.0000 0.0000 0.0000
Tm1 0.0000 0.2850 0.5000
Au1 0.2127 0.0000 0.5000
Au2 0.2500 0.2500 0.0000

***

# 2
# Pu7Pa4Ge6, optimized geometry, DFT PBE
# E: -9.948 eV per atom
# D(E_F): 86.45 states/eV/cell
# formation energy: -0.18 eV per atom
# crystal system: cubic
data_Pu7Pa4Ge6
_chemical_formula_sum 'Pu14 Pa8 Ge12'
_cell_length_a 9.2118
_cell_length_b 9.2118
_cell_length_c 9.2118
_cell_angle_alpha 90.00
_cell_angle_beta 90.00
_cell_angle_gamma 90.00
_space_group_name_H-M_alt 'I m -3 m'
_space_group_IT_number 229
_space_group_name_Hall '-I 4 2 3'
loop_
_atom_site_label
_atom_site_fract_x
_atom_site_fract_y
_atom_site_fract_z
Pu1 0.0000 0.0000 0.0000
Pu2 0.0000 0.2500 0.5000
Pa1 0.2500 0.2500 0.2500
Ge1 0.0000 0.0000 0.2995

***

# 3
# Sc3NiTe, optimized geometry, DFT PBE
# uncorrected formation energy: -3.0 eV/f.u.
# E: -6.183 eV per atom
# energy above the lowest structure with this stoichiometry: 0 meV/atom
# D(E_F): 15.19 states/eV/cell
# crystal system: monoclinic
data_Sc3NiTe
_chemical_formula_sum 'Sc12 Ni4 Te4'
_cell_length_a 20.3431
_cell_length_b 3.7630
_cell_length_c 5.7209
_cell_angle_alpha 90.00
_cell_angle_beta 98.44
_cell_angle_gamma 90.00
_space_group_name_H-M_alt 'C 1 2/m 1'
_space_group_IT_number 12
_space_group_name_Hall '-C 2y'
loop_
_atom_site_label
_atom_site_fract_x
_atom_site_fract_y
_atom_site_fract_z
Sc1 0.0009 0.0000 0.2592
Sc2 0.1417 0.5000 0.5793
Sc3 0.2030 0.0000 0.1332
Ni1 0.2301 0.0000 0.6334
Te1 0.0895 0.5000 0.0474

***

# 4
# Mn2ReNi2, optimized geometry, DFT PBE
# E: -8.302 eV per atom
# energy above the lowest structure with this stoichiometry: 0 meV/atom
# D(E_F): 11.44 states/eV/cell
# formation energy: 0.17 eV per atom
# crystal system: tetragonal
data_Mn2ReNi2
_chemical_formula_sum 'Mn4 Re2 Ni4'
_cell_length_a 6.7816
_cell_length_b 6.7816
_cell_length_c 2.6858
_cell_angle_alpha 90.00
_cell_angle_beta 90.00
_cell_angle_gamma 90.00
_space_group_name_H-M_alt 'P 4/m b m'
_space_group_IT_number 127
_space_group_name_Hall '-P 4 2ab'
loop_
_atom_site_label
_atom_site_fract_x
_atom_site_fract_y
_atom_site_fract_z
Mn1 0.1730 0.3270 0.0000
Re1 0.0000 0.0000 0.5000
Ni1 0.1254 0.6254 0.5000

***

# 5
# InOsCl2, optimized geometry, DFT PBE
# uncorrected formation energy: 1.4 eV/f.u.
# E: -4.077 eV per atom
# energy above the lowest structure with this stoichiometry: 327 meV/atom
# D(E_F): 6.35 states/eV/cell
# crystal system: orthorhombic
data_InOsCl2
_chemical_formula_sum 'In2 Os2 Cl4'
_cell_length_a 3.0360
_cell_length_b 5.7979
_cell_length_c 9.6265
_cell_angle_alpha 90.00
_cell_angle_beta 90.00
_cell_angle_gamma 90.00
_space_group_name_H-M_alt 'C m m m'
_space_group_IT_number 65
_space_group_name_Hall '-C 2 2'
loop_
_atom_site_label
_atom_site_fract_x
_atom_site_fract_y
_atom_site_fract_z
In1 0.0000 0.0000 0.0000
Os1 0.0000 0.0000 0.5000
Cl1 0.0000 0.5000 0.3079

***

# 6
# MnCo4As, optimized geometry, DFT PBE
# E: -6.834 eV per atom
# D(E_F): 37.39 states/eV/cell
# formation energy: 0.21 eV per atom
# crystal system: cubic
data_MnCo4As
_chemical_formula_sum 'Mn4 Co16 As4'
_cell_length_a 6.7296
_cell_length_b 6.7296
_cell_length_c 6.7296
_cell_angle_alpha 90.00
_cell_angle_beta 90.00
_cell_angle_gamma 90.00
_space_group_name_H-M_alt 'F -4 3 m'
_space_group_IT_number 216
_space_group_name_Hall 'F -4 2 3'
loop_
_atom_site_label
_atom_site_fract_x
_atom_site_fract_y
_atom_site_fract_z
Mn1 0.0000 0.0000 0.0000
Co1 0.1251 0.1251 0.3749
As1 0.2500 0.2500 0.7500

***

# 7
# Nd6SnPb2Se3, optimized geometry, DFT PBE
# uncorrected formation energy: -14.6 eV/f.u.
# E: -5.420 eV per atom
# D(E_F): 8.96 states/eV/cell
# crystal system: monoclinic
data_Nd6SnPb2Se3
_chemical_formula_sum 'Nd12 Sn2 Pb4 Se6'
_cell_length_a 19.2727
_cell_length_b 4.3930
_cell_length_c 8.8593
_cell_angle_alpha 90.00
_cell_angle_beta 104.19
_cell_angle_gamma 90.00
_space_group_name_H-M_alt 'C 1 2/m 1'
_space_group_IT_number 12
_space_group_name_Hall '-C 2y'
loop_
_atom_site_label
_atom_site_fract_x
_atom_site_fract_y
_atom_site_fract_z
Nd1 0.0030 0.0000 0.2466
Nd2 0.1631 0.5000 0.0910
Nd3 0.1684 0.5000 0.5753
Sn1 0.0000 0.5000 0.5000
Pb1 0.1669 0.0000 0.8339
Se1 0.0000 0.5000 0.0000
Se2 0.1667 0.0000 0.3338

***

# 8
# Li4RhO4, optimized geometry, DFT PBE
# uncorrected formation energy: -11.7 eV/f.u.
# E: -5.176 eV per atom
# energy above the lowest structure with this stoichiometry: 223 meV/atom
# D(E_F): 1.49 states/eV/cell
# crystal system: tetragonal
data_Li4RhO4
_chemical_formula_sum 'Li8 Rh2 O8'
_cell_length_a 5.3630
_cell_length_b 5.3630
_cell_length_c 7.7758
_cell_angle_alpha 90.00
_cell_angle_beta 90.00
_cell_angle_gamma 90.00
_space_group_name_H-M_alt 'I -4 2 m'
_space_group_IT_number 121
_space_group_name_Hall 'I -4 2'
loop_
_atom_site_label
_atom_site_fract_x
_atom_site_fract_y
_atom_site_fract_z
Li1 0.0000 0.0000 0.1469
Li2 0.0000 0.5000 0.0000
Rh1 0.0000 0.0000 0.5000
O1 0.2497 0.2497 0.0467

***

# 9
# TlBiSbAu2, optimized geometry, DFT PBE
# uncorrected formation energy: -0.2 eV/f.u.
# E: -3.419 eV per atom
# D(E_F): 7.95 states/eV/cell
# crystal system: monoclinic
data_TlBiSbAu2
_chemical_formula_sum 'Tl4 Bi4 Sb4 Au8'
_cell_length_a 14.1640
_cell_length_b 4.6267
_cell_length_c 10.8232
_cell_angle_alpha 90.00
_cell_angle_beta 128.98
_cell_angle_gamma 90.00
_space_group_name_H-M_alt 'C 1 2/m 1'
_space_group_IT_number 12
_space_group_name_Hall '-C 2y'
loop_
_atom_site_label
_atom_site_fract_x
_atom_site_fract_y
_atom_site_fract_z
Tl1 0.1452 0.0000 0.1663
Bi1 0.1277 0.5000 0.8808
Sb1 0.0955 0.0000 0.4532
Au1 0.1457 0.5000 0.3575
Au2 0.1788 0.0000 0.7628

***

# 10
# Ni3HW, optimized geometry, DFT PBE
# E: -6.530 eV per atom
# energy above the lowest structure with this stoichiometry: 0 meV/atom
# D(E_F): 2.29 states/eV/cell
# crystal system: cubic
data_Ni3HW
_chemical_formula_sum 'Ni3 H1 W1'
_cell_length_a 3.7090
_cell_length_b 3.7090
_cell_length_c 3.7090
_cell_angle_alpha 90.00
_cell_angle_beta 90.00
_cell_angle_gamma 90.00
_space_group_name_H-M_alt 'P m -3 m'
_space_group_IT_number 221
_space_group_name_Hall '-P 4 2 3'
loop_
_atom_site_label
_atom_site_fract_x
_atom_site_fract_y
_atom_site_fract_z
Ni1 0.0000 0.0000 0.5000
H1 0.0000 0.0000 0.0000
W1 0.5000 0.5000 0.5000

***

# 11
# TeHIr3, optimized geometry, DFT PBE
# E: -6.154 eV per atom
# energy above the lowest structure with this stoichiometry: 0 meV/atom
# D(E_F): 4.05 states/eV/cell
# crystal system: cubic
data_TeHIr3
_chemical_formula_sum 'Te1 H1 Ir3'
_cell_length_a 4.0879
_cell_length_b 4.0879
_cell_length_c 4.0879
_cell_angle_alpha 90.00
_cell_angle_beta 90.00
_cell_angle_gamma 90.00
_space_group_name_H-M_alt 'P m -3 m'
_space_group_IT_number 221
_space_group_name_Hall '-P 4 2 3'
loop_
_atom_site_label
_atom_site_fract_x
_atom_site_fract_y
_atom_site_fract_z
Te1 0.0000 0.0000 0.0000
H1 0.5000 0.5000 0.5000
Ir1 0.0000 0.5000 0.5000

***

# 12
# MgPaSbAu, optimized geometry, DFT PBE
# uncorrected formation energy: -1.3 eV/f.u.
# E: -4.948 eV per atom
# D(E_F): 23.66 states/eV/cell
# crystal system: cubic
data_MgPaSbAu
_chemical_formula_sum 'Mg4 Pa4 Sb4 Au4'
_cell_length_a 7.1975
_cell_length_b 7.1975
_cell_length_c 7.1975
_cell_angle_alpha 90.00
_cell_angle_beta 90.00
_cell_angle_gamma 90.00
_space_group_name_H-M_alt 'F -4 3 m'
_space_group_IT_number 216
_space_group_name_Hall 'F -4 2 3'
loop_
_atom_site_label
_atom_site_fract_x
_atom_site_fract_y
_atom_site_fract_z
Mg1 0.0000 0.0000 0.0000
Pa1 0.0000 0.0000 0.5000
Sb1 0.2500 0.2500 0.7500
Au1 0.2500 0.2500 0.2500

***

no.,size of the total moment (Bohr magnetons per cell)
1,0.00
2,79.77
3,0.00
4,11.11
5,0.00
6,42.07
7,0.00
8,6.03
9,0.00
10,2.96
11,0.00
12,2.90